{"formula": "MnHgSbI6", "functional": "PBE", "state": "relaxed", "lattice_angstrom": [[7.556, 0.000, 0.000], [3.778, 6.543, 0.000], [0.000, 0.000, 7.454]], "species": ["I", "I", "I", "I", "I", "I", "Hg", "Mn", "Sb"], "frac_coords": [[0.366, 0.982, 0.726], [0.982, 0.652, 0.726], [0.366, 0.652, 0.274], [0.652, 0.982, 0.274], [0.982, 0.366, 0.274], [0.652, 0.366, 0.726], [0.000, 0.000, 0.000], [0.667, 0.667, 0.500], [0.333, 0.333, 0.500]], "space_group": "P312", "final_energy_ev_per_atom": -2.824, "crystal_system": "trigonal", "e_form_raw_ev_per_atom": -0.280}

{"formula": "FeTc2Ir", "functional": "PBE", "state": "relaxed", "lattice_angstrom": [[2.705, 0.000, 0.000], [0.000, 4.629, -0.007], [0.000, 3.097, 4.427]], "species": ["Tc", "Tc", "Ir", "Fe"], "frac_coords": [[0.000, 0.000, 0.000], [0.500, 0.500, 0.000], [0.000, 0.000, 0.500], [0.500, 0.500, 0.500]], "space_group": "P2/m", "final_energy_ev_per_atom": -9.504, "crystal_system": "monoclinic", "polymorph_energy_kcal_per_mol_atoms": 1.37, "e_form_ev_per_atom": 0.01}

{"formula": "Pm6HfTe12", "functional": "PBE", "state": "relaxed", "lattice_angstrom": [[-6.542, 4.468, 4.064], [3.898, -3.569, 7.166], [5.622, 6.759, -1.412]], "species": ["Te", "Te", "Te", "Te", "Te", "Te", "Te", "Te", "Te", "Te", "Te", "Te", "Pm", "Pm", "Pm", "Pm", "Pm", "Pm", "Hf"], "frac_coords": [[0.436, 0.572, 0.181], [0.572, 0.181, 0.436], [0.066, 0.980, 0.321], [0.934, 0.020, 0.679], [0.428, 0.819, 0.564], [0.679, 0.934, 0.020], [0.819, 0.564, 0.428], [0.980, 0.321, 0.066], [0.020, 0.679, 0.934], [0.321, 0.066, 0.980], [0.564, 0.428, 0.819], [0.181, 0.436, 0.572], [0.360, 0.702, 0.867], [0.298, 0.133, 0.640], [0.702, 0.867, 0.360], [0.133, 0.640, 0.298], [0.867, 0.360, 0.702], [0.640, 0.298, 0.133], [0.000, 0.000, 0.000]], "space_group": "R-3", "final_energy_ev_per_atom": -5.181, "crystal_system": "trigonal", "e_form_raw_ev_per_atom": -1.172}

{"formula": "BaCdSbF", "functional": "PBE", "state": "relaxed", "lattice_angstrom": [[4.650, 0.000, 0.000], [0.000, 4.650, 0.000], [0.000, 0.000, 9.964]], "species": ["F", "F", "Cd", "Cd", "Ba", "Ba", "Sb", "Sb"], "frac_coords": [[0.000, 0.000, 0.500], [0.500, 0.500, 0.500], [0.500, 0.500, 0.000], [0.000, 0.000, 0.000], [0.000, 0.500, 0.642], [0.500, 0.000, 0.358], [0.000, 0.500, 0.185], [0.500, 0.000, 0.815]], "space_group": "P4/nmm", "final_energy_ev_per_atom": -4.010, "crystal_system": "tetragonal", "e_form_raw_ev_per_atom": -1.802}

{"formula": "CsNa2Hg", "functional": "PBE", "state": "relaxed", "lattice_angstrom": [[-2.275, 2.103, -6.582], [4.168, -7.826, -3.941], [-16.739, -10.188, 2.530]], "species": ["Cs", "Cs", "Cs", "Cs", "Cs", "Cs", "Cs", "Cs", "Na", "Na", "Na", "Na", "Na", "Na", "Na", "Na", "Na", "Na", "Na", "Na", "Na", "Na", "Na", "Na", "Hg", "Hg", "Hg", "Hg", "Hg", "Hg", "Hg", "Hg"], "frac_coords": [[0.210, 0.750, 0.607], [0.710, 0.250, 0.893], [0.536, 0.750, 0.868], [0.964, 0.750, 0.368], [0.790, 0.250, 0.393], [0.290, 0.750, 0.107], [0.036, 0.250, 0.632], [0.464, 0.250, 0.132], [0.027, 0.939, 0.789], [0.027, 0.561, 0.789], [0.312, 0.436, 0.452], [0.812, 0.564, 0.048], [0.688, 0.564, 0.548], [0.312, 0.064, 0.452], [0.812, 0.936, 0.048], [0.973, 0.439, 0.211], [0.527, 0.439, 0.711], [0.688, 0.936, 0.548], [0.188, 0.064, 0.952], [0.473, 0.561, 0.289], [0.473, 0.939, 0.289], [0.973, 0.061, 0.211], [0.527, 0.061, 0.711], [0.188, 0.436, 0.952], [0.271, 0.250, 0.312], [0.229, 0.250, 0.812], [0.535, 0.250, 0.569], [0.771, 0.750, 0.188], [0.965, 0.250, 0.069], [0.729, 0.750, 0.688], [0.465, 0.750, 0.431], [0.035, 0.750, 0.931]], "space_group": "Pnma", "final_energy_ev_per_atom": -1.085, "crystal_system": "orthorhombic", "e_form_ev_per_atom": -0.14}

{"formula": "LiRuRh2", "functional": "PBE", "state": "relaxed", "lattice_angstrom": [[-2.442, -0.092, -1.177], [-1.516, -1.111, 3.233], [-0.842, 5.087, 1.353]], "species": ["Rh", "Rh", "Li", "Ru"], "frac_coords": [[0.000, 0.000, 0.996], [0.000, 0.000, 0.504], [0.500, 0.500, 0.750], [0.500, 0.500, 0.250]], "space_group": "Pmmm", "final_energy_ev_per_atom": -6.472, "crystal_system": "orthorhombic", "polymorph_energy_kcal_per_mol_atoms": 0.31, "e_form_ev_per_atom": 0.00}

{"formula": "SmZnCdAg", "functional": "PBE", "state": "relaxed", "lattice_angstrom": [[-4.394, 2.260, 0.001], [-3.363, -1.136, -3.438], [-4.068, -2.508, 1.257]], "species": ["Sm", "Ag", "Cd", "Zn"], "frac_coords": [[0.250, 0.250, 0.250], [0.000, 0.000, 0.000], [0.750, 0.750, 0.750], [0.500, 0.500, 0.500]], "space_group": "F-43m", "final_energy_ev_per_atom": -2.748, "crystal_system": "cubic", "e_form_ev_per_atom": -0.31}

{"formula": "Ca4Pu6O19", "functional": "PBE", "state": "relaxed", "lattice_angstrom": [[7.954, 0.000, -2.812], [-3.977, 6.888, -2.812], [0.000, 0.000, 8.436]], "species": ["Ca", "Ca", "Ca", "Ca", "O", "O", "O", "O", "O", "O", "O", "O", "O", "O", "O", "O", "O", "O", "O", "O", "O", "O", "O", "Pu", "Pu", "Pu", "Pu", "Pu", "Pu"], "frac_coords": [[0.000, 0.723, 0.000], [0.723, 0.000, 0.000], [0.000, 0.000, 0.723], [0.277, 0.277, 0.277], [0.600, 0.348, 0.324], [0.000, 0.000, 0.000], [0.976, 0.652, 0.252], [0.000, 0.635, 0.635], [0.724, 0.748, 0.400], [0.400, 0.724, 0.748], [0.676, 0.024, 0.276], [0.324, 0.600, 0.348], [0.365, 0.365, 0.000], [0.635, 0.635, 0.000], [0.252, 0.976, 0.652], [0.748, 0.400, 0.724], [0.000, 0.365, 0.365], [0.365, 0.000, 0.365], [0.635, 0.000, 0.635], [0.348, 0.324, 0.600], [0.276, 0.676, 0.024], [0.024, 0.276, 0.676], [0.652, 0.252, 0.976], [0.675, 0.500, 0.175], [0.500, 0.825, 0.325], [0.500, 0.175, 0.675], [0.825, 0.325, 0.500], [0.175, 0.675, 0.500], [0.325, 0.500, 0.825]], "space_group": "I23", "final_energy_ev_per_atom": -9.284, "crystal_system": "cubic", "e_form_raw_ev_per_atom": -2.795}